[1]
First-principles (PBE-GGA) data for a relaxed structure of La7PI12, as listed in Alexandria via LeMat-Bulk.

Structure (CIF):
```
data_La7PI12
_chemical_formula_sum 'La21 P3 I36'
_space_group_name_H-M_alt 'R -3'
_space_group_IT_number 148
_space_group_name_Hall '-R 3'
_cell_length_a 16.3161
_cell_length_b 16.3161
_cell_length_c 10.9522
_cell_angle_alpha 90.00
_cell_angle_beta 90.00
_cell_angle_gamma 120.00
loop_
_atom_site_label
_atom_site_type_symbol
_atom_site_fract_x
_atom_site_fract_y
_atom_site_fract_z
La1 La 0.0000 0.0000 0.0000
La2 La 0.0446 0.1610 0.3534
P1 P 0.0000 0.0000 0.5000
I1 I 0.0208 0.5868 0.1642
I2 I 0.0510 0.1835 0.8367
```

**Size of the total moment**: 0.00 μB/cell
**E_form (uncorrected)**: -1.4830 eV per atom

---

[2]
First-principles (PBE-GGA) data for a relaxed structure of Zr2CuRe, as listed in Alexandria via LeMat-Bulk.

Structure (CIF):
```
data_Zr2CuRe
_chemical_formula_sum 'Zr4 Cu2 Re2'
_space_group_name_H-M_alt 'C m m 2'
_space_group_IT_number 35
_space_group_name_Hall 'C 2 -2'
_cell_length_a 3.452
_cell_length_b 4.462
_cell_length_c 9.267
_cell_angle_alpha 90.00
_cell_angle_beta 90.00
_cell_angle_gamma 90.00
loop_
_atom_site_label
_atom_site_type_symbol
_atom_site_fract_x
_atom_site_fract_y
_atom_site_fract_z
Zr1 Zr 0.000 0.000 0.000
Zr2 Zr 0.000 0.500 0.309
Cu1 Cu 0.000 0.500 0.761
Re1 Re 0.000 0.000 0.554
```

**Energy of formation from the pure elements**: 0.2044 eV per atom
**Size of the total moment**: 0.00 μB/cell

---

[3]
First-principles (PBE-GGA) data for a relaxed structure of Co2As2Pb, as listed in Alexandria via LeMat-Bulk.

Structure (CIF):
```
data_Co2As2Pb
_chemical_formula_sum 'Co4 As4 Pb2'
_space_group_name_H-M_alt 'P 4/m b m'
_space_group_IT_number 127
_space_group_name_Hall '-P 4 2ab'
_cell_length_a 7.471
_cell_length_b 7.471
_cell_length_c 3.006
_cell_angle_alpha 90.00
_cell_angle_beta 90.00
_cell_angle_gamma 90.00
loop_
_atom_site_label
_atom_site_type_symbol
_atom_site_fract_x
_atom_site_fract_y
_atom_site_fract_z
Co1 Co 0.124 0.376 0.000
As1 As 0.137 0.637 0.500
Pb1 Pb 0.000 0.000 0.000
```

**Energy of formation from the pure elements**: 0.1795 eV per atom
**Size of the total moment**: 1.39 μB/cell

---

[4]
First-principles (PBE-GGA) data for a relaxed structure of Ca, as listed in Alexandria via LeMat-Bulk.

Structure (CIF):
```
data_Ca
_chemical_formula_sum 'Ca4'
_space_group_name_H-M_alt 'P 63/m m c'
_space_group_IT_number 194
_space_group_name_Hall '-P 6c 2c'
_cell_length_a 6.1916
_cell_length_b 6.1916
_cell_length_c 6.4656
_cell_angle_alpha 90.00
_cell_angle_beta 90.00
_cell_angle_gamma 120.00
loop_
_atom_site_label
_atom_site_type_symbol
_atom_site_fract_x
_atom_site_fract_y
_atom_site_fract_z
Ca1 Ca 0.0000 0.0000 0.2500
Ca2 Ca 0.3333 0.6667 0.2500
```

**Energy of formation from the pure elements**: 0.6447 eV per atom
**Size of the total moment**: 0.00 μB/cell
**ΔE to the lowest computed polymorph**: 644.7 meV/atom